1.
Below is a relaxed TaS2Br crystal, with properties calculated at the PBE level.

Output
formation energy from raw total energies = 1.1 eV/f.u.
SG = Fm-3m, No. 225
magnetization = 0.00 Bohr magnetons per cell
excess energy over the best structure of this formula in the dataset = 1.152 eV/atom
crystal system = cubic
electronic total energy = -5.170 eV/atom

Unit cell a=4.5799 b=4.5799 c=4.5799 alpha=60.00 beta=60.00 gamma=60.00
Positions (direct):
S 0.7500 0.7500 0.7500
S 0.2500 0.2500 0.2500
Br 0.0000 0.0000 0.0000
Ta 0.5000 0.5000 0.5000

=====

2.
Below is a relaxed SrCa2Se crystal, with properties calculated at the PBE level.

Output
formation energy from raw total energies = -3.6 eV/f.u.
SG = R3m, No. 160
magnetization = 0.00 Bohr magnetons per cell
crystal system = trigonal
electronic total energy = -3.198 eV/atom

Unit cell a=10.6329 b=10.6329 c=10.6329 alpha=22.49 beta=22.49 gamma=22.49
Positions (direct):
Sr 0.7734 0.7734 0.7734
Se 0.5040 0.5040 0.5040
Ca 0.2256 0.2256 0.2256
Ca 0.9970 0.9970 0.9970

=====

3.
Below is a relaxed AcTb5Pr2Sm crystal, with properties calculated at the PBE level.

Output
SG = I4/mcm, No. 140
magnetization = 0.00 Bohr magnetons per cell
energy of formation from the pure elements = 0.245 eV/atom
crystal system = tetragonal
electronic total energy = -4.371 eV/atom

Unit cell a=8.8734 b=8.8734 c=10.1139 alpha=116.02 beta=116.02 gamma=90.00
Positions (direct):
Tb 0.1594 0.0726 0.7320
Tb 0.5000 0.5000 0.0000
Tb 0.5726 0.6594 0.7320
Tb 0.3406 0.8406 0.2680
Tb 0.9274 0.4274 0.2680
Tb 0.4274 0.3406 0.2680
Tb 0.0000 0.0000 0.0000
Tb 0.0726 0.5726 0.7320
Tb 0.8406 0.9274 0.2680
Tb 0.6594 0.1594 0.7320
Ac 0.2500 0.2500 0.5000
Ac 0.7500 0.7500 0.5000
Pr 0.3819 0.8819 0.0000
Pr 0.1181 0.3819 0.0000
Pr 0.8819 0.6181 0.0000
Pr 0.6181 0.1181 0.0000
Sm 0.2500 0.7500 0.5000
Sm 0.7500 0.2500 0.5000